## TiGaPd5 (PBE)

Data for a relaxed structure of TiGaPd5.

- E_form (meV/atom) = -211
- total magnetization (μB per atom) = 0.000
- total energy (eV per atom) = -5.48
- V (A^3/atom) = 17.93
- energy above the most stable polymorph in this dataset (eV per atom) = 0.164
- Fermi-level density of states (states/eV/cell) = 14.580

Structure (CIF):
```
data_TiGaPd5
_cell_length_a 9.5444
_cell_length_b 9.1573
_cell_length_c 6.7405
_cell_angle_alpha 90.00
_cell_angle_beta 121.53
_cell_angle_gamma 90.00
_space_group_name_H-M_alt 'C 1 2/c 1'
_space_group_IT_number 15
_space_group_name_Hall '-C 2yc'
loop_
_atom_site_label
_atom_site_fract_x
_atom_site_fract_y
_atom_site_fract_z
Ti1 0.0000 0.0377 0.2500
Ga1 0.0000 0.5000 0.0000
Pd1 0.0000 0.3087 0.2500
Pd2 0.1143 0.1927 0.9896
Pd3 0.2044 0.1021 0.6694
```

=====

## TiGaPd3 (PBE)

Data for a relaxed structure of TiGaPd3.

- E_form (meV/atom) = 452
- total magnetization (μB per atom) = 0.000
- total energy (eV per atom) = -4.85
- V (A^3/atom) = 20.63
- energy above the most stable polymorph in this dataset (eV per atom) = 1.098
- Fermi-level density of states (states/eV/cell) = 4.151

Structure (CIF):
```
data_TiGaPd3
_cell_length_a 4.6895
_cell_length_b 4.6895
_cell_length_c 4.6895
_cell_angle_alpha 90.00
_cell_angle_beta 90.00
_cell_angle_gamma 90.00
_space_group_name_H-M_alt 'P m -3 m'
_space_group_IT_number 221
_space_group_name_Hall '-P 4 2 3'
loop_
_atom_site_label
_atom_site_fract_x
_atom_site_fract_y
_atom_site_fract_z
Ti1 0.0000 0.0000 0.0000
Ga1 0.5000 0.5000 0.5000
Pd1 0.0000 0.0000 0.5000
```

=====

Q: The highest energy above the most stable polymorph in this dataset belongs to which entry?
A: TiGaPd3